No. 1
KTaSb | SCAN | single point on PBEsol structure

Calculated values
As for the symmetry: F-43m. As for the formation energy (no corrections): 0.951 eV per atom. The calculation puts the size of the total moment at 2.800 μB/cell.

Cell: 4.9544 4.9544 4.9544 Å, 60.00 60.00 60.00°
With the nearest neighbours (Å) after each atom.
Sites, in units of the cell vectors:
K (0.0000, 0.0000, 0.0000)  4 Sb 3.03
Ta (0.5000, 0.5000, 0.5000)  4 Sb 3.03
Sb (0.2500, 0.2500, 0.2500)  4 Ta 3.03, 4 K 3.03

***

No. 2
YGaSi2 | SCAN | single point on PBEsol structure

Calculated values
As for the symmetry: I-42d. As for the formation energy (no corrections): -0.169 eV per atom. The calculation puts the size of the total moment at 0.000 μB/cell.

Cell: 5.9126 5.9126 5.9126 Å, 104.33 104.33 120.32°
With the nearest neighbours (Å) after each atom.
Sites, in units of the cell vectors:
Y (0.0000, 0.0000, 0.0000)  8 Si 2.91-3.22, 2 Ga 2.94
Y (0.7500, 0.2500, 0.5000)  8 Si 2.91-3.22, 2 Ga 2.94
Ga (0.2500, 0.7500, 0.5000)  4 Si 2.45
Ga (0.5000, 0.5000, 0.0000)  4 Si 2.45
Si (0.1711, 0.1250, 0.5461)  2 Ga 2.45
Si (0.3750, 0.8289, 0.9539)  2 Ga 2.45
Si (0.5789, 0.6250, 0.4539)  2 Ga 2.45
Si (0.8750, 0.4211, 0.0461)  2 Ga 2.45

***

No. 3
Y2MgCd2 | SCAN | single point on PBEsol structure

Calculated values
The calculated total energy is -24.688 eV/atom. As for the symmetry: P4/mbm. The calculation puts the size of the total moment at 0.077 μB/cell.

Cell: 7.9342 7.9342 4.0552 Å, 90.00 90.00 90.00°
With the nearest neighbours (Å) after each atom.
Sites, in units of the cell vectors:
Y (0.1667, 0.3333, 0.0000)  6 Cd 3.04-3.13
Y (0.3333, 0.8333, 0.0000)  6 Cd 3.04-3.13
Y (0.6667, 0.1667, 0.0000)  6 Cd 3.04-3.13
Y (0.8333, 0.6667, 0.0000)  6 Cd 3.04-3.13
Mg (0.0000, 0.0000, 0.5000)  4 Cd 3.11
Mg (0.5000, 0.5000, 0.5000)  4 Cd 3.11
Cd (0.1312, 0.6312, 0.5000)  1 Cd 2.94, 6 Y 3.04-3.13, 2 Mg 3.11
Cd (0.3688, 0.1312, 0.5000)  1 Cd 2.94, 6 Y 3.04-3.13, 2 Mg 3.11
Cd (0.6312, 0.8688, 0.5000)  1 Cd 2.94, 6 Y 3.04-3.13, 2 Mg 3.11
Cd (0.8688, 0.3688, 0.5000)  1 Cd 2.94, 6 Y 3.04-3.13, 2 Mg 3.11

***

no.,Fermi-level density of states (states/eV/f.u.)
1,1.00
2,0.56
3,3.74